Entry 1:
First-principles (PBE) data for crystalline Ac2Tc2O5 at its relaxed geometry, as listed in OQMD via LeMat-Bulk.

Cell: 3.6585 3.6585 10.2909 Å, 90.00 90.00 90.00°
Closest atoms and distances in Å follow each position.
Space group P4/mmm (No. 123)
One atom of each set of equivalent atoms:
1 Ac 0.0000 0.0000 0.2404 (multiplicity 2)  5 O 2.38-2.47
2 Tc 0.5000 0.5000 0.0000 (multiplicity 1)  4 O 2.59
3 Tc 0.5000 0.5000 0.5000 (multiplicity 1)  8 O 2.16
4 O 0.0000 0.0000 0.0000 (multiplicity 1)  2 Ac 2.47, 4 Tc 2.59
5 O 0.0000 0.5000 0.3882 (multiplicity 4)  2 Tc 2.16, 1 O 2.30, 2 Ac 2.38

## Properties
Energy relative to the lowest polymorph listed for this composition (meV/atom): 652.7
Final energy (eV per atom): -7.339
Total magnetic moment (μB per formula unit): 2.9

Entry 2:
First-principles (PBE) data for crystalline Gd2TmMg3Ir2Pt at its relaxed geometry, as listed in OQMD via LeMat-Bulk.

Cell: 4.0389 12.6901 7.3440 Å, 90.00 90.00 90.00°
Closest atoms and distances in Å follow each position.
Space group Amm2 (No. 38)
One atom of each set of equivalent atoms:
1 Gd 0.0000 0.2070 0.0000 (multiplicity 4)  4 Ir 3.01, 1 Pt 3.05, 6 Mg 3.20-3.34
2 Tm 0.0000 0.0000 0.3826 (multiplicity 2)  4 Ir 2.97, 1 Pt 2.99, 6 Mg 3.21-3.31
3 Mg 0.5000 0.0000 0.0420 (multiplicity 2)  2 Pt 2.74, 2 Ir 2.78
4 Mg 0.5000 0.1232 0.6684 (multiplicity 4)  2 Pt 2.70, 2 Ir 2.80-2.86
5 Ir 0.5000 0.1638 0.2943 (multiplicity 4)  3 Mg 2.78-2.86, 2 Tm 2.97, 4 Gd 3.01
6 Pt 0.0000 0.0000 0.7893 (multiplicity 2)  6 Mg 2.70-2.74, 1 Tm 2.99

## Properties
Final energy (eV per atom): -5.470
Total magnetic moment (μB per formula unit): 0.0

Entry 3:
First-principles (PBE) data for crystalline TlPdAuSe3 at its relaxed geometry, as listed in OQMD via LeMat-Bulk.

Cell: 11.7411 4.1082 11.4034 Å, 90.00 90.00 90.00°
Closest atoms and distances in Å follow each position.
Space group Pnma (No. 62)
One atom of each set of equivalent atoms:
1 Tl 0.1165 0.2500 0.0519 (multiplicity 4)  4 Se 3.08-3.21, 2 Au 3.19
2 Pd 0.0776 0.7500 0.6586 (multiplicity 4)  4 Se 2.57-2.58
3 Au 0.2351 0.7500 0.2276 (multiplicity 4)  4 Se 2.64-2.78
4 Se 0.0106 0.7500 0.2384 (multiplicity 4)  2 Pd 2.58, 1 Au 2.64
5 Se 0.1232 0.2500 0.5322 (multiplicity 4)  1 Se 2.50, 2 Pd 2.57, 1 Au 2.78
6 Se 0.2218 0.7500 0.8817 (multiplicity 4)  1 Se 2.50, 2 Au 2.75

## Properties
Energy relative to the lowest polymorph listed for this composition (meV/atom): 78.4
Final energy (eV per atom): -3.659

Entry 4:
First-principles (PBE) data for crystalline PrDy2Al3Ge2Ir at its relaxed geometry, as listed in OQMD via LeMat-Bulk.

Cell: 4.2613 12.2735 7.0534 Å, 90.00 90.00 90.00°
Closest atoms and distances in Å follow each position.
Space group Amm2 (No. 38)
One atom of each set of equivalent atoms:
1 Pr 0.0000 0.0000 0.0000 (multiplicity 2)  1 Ir 2.99, 4 Ge 3.05, 6 Al 3.31-3.34
2 Dy 0.0000 0.2057 0.3808 (multiplicity 4)  1 Ir 2.87, 4 Ge 2.98-3.01
3 Al 0.5000 0.0000 0.3591 (multiplicity 2)  2 Ir 2.62, 2 Al 2.76, 2 Ge 2.85
4 Al 0.5000 0.1147 0.6957 (multiplicity 4)  2 Ir 2.69, 2 Ge 2.74-2.84, 2 Al 2.76-2.81
5 Ge 0.5000 0.1714 0.0856 (multiplicity 4)  3 Al 2.74-2.85, 4 Dy 2.98-3.01, 2 Pr 3.05
6 Ir 0.0000 0.0000 0.5756 (multiplicity 2)  6 Al 2.62-2.69, 2 Dy 2.87

## Properties
Final energy (eV per atom): -5.671
Total magnetic moment (μB per formula unit): 0.0

Entry 5:
First-principles (PBE) data for crystalline PPdAuO at its relaxed geometry, as listed in OQMD via LeMat-Bulk.

Cell: 4.2027 4.2027 8.2684 Å, 90.00 90.00 90.00°
Closest atoms and distances in Å follow each position.
Space group P4/nmm (No. 129, origin choice 2)
One atom of each set of equivalent atoms:
1 P 0.2500 0.2500 0.1653 (multiplicity 2)  1 Pd 2.25, 4 Au 2.51
2 Pd 0.2500 0.2500 0.4369 (multiplicity 2)  4 O 2.17, 1 P 2.25
3 Au 0.2500 0.7500 0.0000 (multiplicity 2)  4 P 2.51
4 O 0.2500 0.7500 0.5000 (multiplicity 2)  4 Pd 2.17

## Properties
Energy relative to the lowest polymorph listed for this composition (meV/atom): 90.5
Final energy (eV per atom): -4.679

Entry 6:
First-principles (PBE) data for crystalline GdCoB4 at its relaxed geometry, as listed in OQMD via LeMat-Bulk.

Cell: 5.9135 11.4584 3.4096 Å, 90.00 90.00 90.00°
Closest atoms and distances in Å follow each position.
Space group Pbam (No. 55)
One atom of each set of equivalent atoms:
1 Gd 0.1276 0.1500 0.0000 (multiplicity 4)  14 B 2.59-2.72
2 Co 0.1347 0.4110 0.0000 (multiplicity 4)  10 B 2.20-2.30
3 B 0.0223 0.6900 0.5000 (multiplicity 4)  3 B 1.73-1.85
4 B 0.1107 0.5457 0.5000 (multiplicity 4)  3 B 1.68-1.73
5 B 0.1399 0.9673 0.5000 (multiplicity 4)  3 B 1.73-1.82
6 B 0.2187 0.8160 0.5000 (multiplicity 4)  3 B 1.79-1.85

## Properties
Energy relative to the lowest polymorph listed for this composition (meV/atom): 0.0
Final energy (eV per atom): -6.954
Total magnetic moment (μB per formula unit): 0.2

Entry 7:
First-principles (PBE) data for crystalline InAgTeOsSe2 at its relaxed geometry, as listed in OQMD via LeMat-Bulk.

Cell: 3.7144 15.2526 10.3815 Å, 90.00 90.00 90.00°
Closest atoms and distances in Å follow each position.
Space group Cmcm (No. 63)
One atom of each set of equivalent atoms:
1 In 0.0000 0.1940 0.2500 (multiplicity 4)  2 Ag 2.85, 2 Se 3.01, 2 Te 3.03
2 Ag 0.0000 0.1644 0.7500 (multiplicity 4)  2 Se 2.58, 2 In 2.85
3 Te 0.0000 0.4630 0.7500 (multiplicity 4)  2 Os 2.66
4 Os 0.0000 0.5000 0.0000 (multiplicity 4)  4 Se 2.53, 2 Te 2.66
5 Se 0.0000 0.1121 0.5135 (multiplicity 8)  2 Os 2.53, 1 Ag 2.58

## Properties
Final energy (eV per atom): -4.481
Total magnetic moment (μB per formula unit): 0.0

Entry 8:
First-principles (PBE) data for crystalline La3Al3GeIr2 at its relaxed geometry, as listed in OQMD via LeMat-Bulk.

Cell: 8.3581 8.3581 3.2626 Å, 90.00 90.00 120.00°
Closest atoms and distances in Å follow each position.
Space group P-62m (No. 189)
One atom of each set of equivalent atoms:
1 La 0.0000 0.6999 0.0000 (multiplicity 3)  2 Ir 2.93, 2 Ge 2.99, 2 Al 3.13, 2 La 3.26
2 Al 0.0000 0.3797 0.5000 (multiplicity 3)  4 Ir 3.08, 6 La 3.13-3.33, 1 Ge 3.17, 2 Al 3.26
3 Ge 0.0000 0.0000 0.5000 (multiplicity 1)  6 La 2.99, 3 Al 3.17, 2 Ge 3.26
4 Ir 0.3333 0.6667 0.0000 (multiplicity 2)  3 La 2.93, 6 Al 3.08, 2 Ir 3.26

## Properties
Energy relative to the lowest polymorph listed for this composition (meV/atom): 505.4
Final energy (eV per atom): -5.515
Total magnetic moment (μB per formula unit): 0.0

Entry 9:
First-principles (PBE) data for crystalline SmCuSnSe2S at its relaxed geometry, as listed in OQMD via LeMat-Bulk.

Cell: 4.0160 13.2965 10.4751 Å, 90.00 90.00 90.00°
Closest atoms and distances in Å follow each position.
Space group Cmcm (No. 63)
One atom of each set of equivalent atoms:
1 Sm 0.0000 0.0000 0.0000 (multiplicity 4)  2 S 2.79, 4 Se 2.91
2 Cu 0.0000 0.4727 0.2500 (multiplicity 4)  2 S 2.41, 2 Se 2.47
3 Sn 0.0000 0.2515 0.7500 (multiplicity 4)  4 Se 3.07, 2 S 3.08
4 Se 0.0000 0.3519 0.0713 (multiplicity 8)  1 Cu 2.47
5 S 0.0000 0.0732 0.2500 (multiplicity 4)  2 Cu 2.41

## Properties
Final energy (eV per atom): -4.892
Total magnetic moment (μB per formula unit): 0.0

Entry 10:
First-principles (PBE) data for crystalline SmGaB at its relaxed geometry, as listed in OQMD via LeMat-Bulk.

Cell: 5.9937 5.9937 5.9937 Å, 90.00 90.00 90.00°
Closest atoms and distances in Å follow each position.
Space group F-43m (No. 216)
One atom of each set of equivalent atoms:
1 Sm 0.0000 0.0000 0.0000 (multiplicity 4)  4 B 2.60
2 Ga 0.0000 0.0000 0.5000 (multiplicity 4)  4 B 2.60
3 B 0.2500 0.2500 0.7500 (multiplicity 4)  4 Sm 2.60, 4 Ga 2.60

## Properties
Energy relative to the lowest polymorph listed for this composition (meV/atom): 0.0
Final energy (eV per atom): -4.889
Total magnetic moment (μB per formula unit): 0.0

Entry 11:
First-principles (PBE) data for crystalline YErI2N at its relaxed geometry, as listed in OQMD via LeMat-Bulk.

Cell: 3.7620 3.7620 10.7711 Å, 90.00 90.00 120.00°
Closest atoms and distances in Å follow each position.
Space group P3m1 (No. 156)
One atom of each set of equivalent atoms:
1 Y 0.0000 0.0000 0.0000 (multiplicity 1)  3 N 2.54
2 Er 0.6667 0.3333 0.7671 (multiplicity 1)  3 N 2.48
3 I 0.0000 0.0000 0.5684 (multiplicity 1)  3 Er 3.05
4 I 0.6667 0.3333 0.2012 (multiplicity 1)  3 Y 3.07
5 N 0.3333 0.6667 0.8786 (multiplicity 1)  3 Er 2.48, 3 Y 2.54

## Properties
Final energy (eV per atom): -5.866
Total magnetic moment (μB per formula unit): 0.0

Entry 12:
First-principles (PBE) data for crystalline Li4CdGePd2 at its relaxed geometry, as listed in OQMD via LeMat-Bulk.

Cell: 4.4032 4.4032 6.1968 Å, 90.00 90.00 90.00°
Closest atoms and distances in Å follow each position.
Space group P-4m2 (No. 115)
One atom of each set of equivalent atoms:
1 Li 0.0000 0.0000 0.0000 (multiplicity 1)  4 Pd 2.58, 4 Li 2.66
2 Li 0.0000 0.5000 0.2411 (multiplicity 2)  2 Ge 2.66, 4 Li 2.66-2.72, 2 Cd 2.72, 1 Pd 2.84
3 Li 0.5000 0.5000 0.5000 (multiplicity 1)  4 Li 2.72, 4 Pd 2.81
4 Cd 0.0000 0.0000 0.5000 (multiplicity 1)  4 Li 2.72, 4 Pd 2.81
5 Ge 0.5000 0.5000 0.0000 (multiplicity 1)  4 Pd 2.58, 4 Li 2.66
6 Pd 0.0000 0.5000 0.7827 (multiplicity 2)  2 Ge 2.58, 5 Li 2.58-2.84, 2 Cd 2.81

## Properties
Final energy (eV per atom): -3.424